Entry 1:
First-principles (GGA-PBE) data for an optimized crystal structure of TmPuMnAl, as listed in Alexandria via LeMat-Bulk.

The space group is F-43m (No. 216) and the conventional cell measures 7.030, 7.030 and 7.030 Å, with angles of 90.00, 90.00 and 90.00 degrees. The distinct sites, in fractional coordinates, are Tm at (0.000, 0.000, 0.000), Pu at (0.000, 0.000, 0.500), Mn at (0.250, 0.250, 0.750) and Al at (0.250, 0.250, 0.250).

As for the density of states at the Fermi level: 29.13 states/eV/cell. The calculation puts the total energy at -7.952 eV/atom.



Entry 2:
First-principles (GGA-PBE) data for an optimized crystal structure of Dy2PaCuS6, as listed in Alexandria via LeMat-Bulk.

The space group is P4mm (No. 99) and the conventional cell measures 6.360, 6.360 and 6.218 Å, with angles of 90.00, 90.00 and 90.00 degrees. The distinct sites, in fractional coordinates, are Dy at (0.000, 0.500, 0.000), Pa at (0.000, 0.000, 0.605), Cu at (0.500, 0.500, 0.550), S at (0.000, 0.000, 0.175), S at (0.264, 0.264, 0.752) and S at (0.500, 0.500, 0.194).

The calculation puts the formation energy (no corrections) at -1230 meV per atom.



Entry 3:
First-principles (GGA-PBE) data for an optimized crystal structure of LaNi2N, as listed in Alexandria via LeMat-Bulk.

The space group is I4_1/amd (No. 141, origin choice 2) and the conventional cell measures 4.532, 4.532 and 12.355 Å, with angles of 90.00, 90.00 and 90.00 degrees. The distinct sites, in fractional coordinates, are La at (0.000, 0.250, 0.375), Ni at (0.000, 0.000, 0.000) and N at (0.000, 0.250, 0.875).

As for the density of states at the Fermi level: 8.49 states/eV/cell. The calculation puts the formation energy (no corrections) at -269 meV per atom.



Entry 4:
First-principles (GGA-PBE) data for an optimized crystal structure of CeCoCN, as listed in Alexandria via LeMat-Bulk.

The space group is P4/nmm (No. 129, origin choice 2) and the conventional cell measures 3.538, 3.538 and 7.335 Å, with angles of 90.00, 90.00 and 90.00 degrees. The distinct sites, in fractional coordinates, are Ce at (0.250, 0.250, 0.179), Co at (0.250, 0.750, 0.500), C at (0.250, 0.250, 0.650) and N at (0.250, 0.250, 0.844).

As for the density of states at the Fermi level: 6.70 states/eV/cell. The calculation puts the formation energy (no corrections) at -667 meV per atom.